1.
HoTh2Tc after structural relaxation, computed with PBE-GGA.

abc: 3.8241 3.8241 10.4624
angles: 79.47 79.47 60.00
Positions (direct):
Ho1 0.0000 0.0000 0.0000
Th1 0.1116 0.1116 0.6651
Th2 0.8884 0.8884 0.3349
Tc1 0.5000 0.5000 0.5000

Results
Energy relative to the elements, eV per atom: 0.327
Distance to the lowest polymorph of the same formula, meV per atom: 451.6

---

2.
HoThTc after structural relaxation, computed with PBE-GGA.

abc: 4.8985 4.8125 7.0542
angles: 89.99 90.00 90.00
Positions (direct):
Ho1 0.7500 0.2500 0.9427
Ho2 0.2500 0.7500 0.0573
Th1 0.2500 0.7500 0.5691
Th2 0.7500 0.2500 0.4309
Tc1 0.7500 0.7500 0.7191
Tc2 0.2500 0.2500 0.2809

Results
Energy relative to the elements, eV per atom: -0.067
Distance to the lowest polymorph of the same formula, meV per atom: 53.6

---

3.
HoTh2Tc9 after structural relaxation, computed with PBE-GGA.

abc: 5.5287 5.3925 9.1167
angles: 76.56 77.52 58.78
Positions (direct):
Ho1 0.0000 0.0000 0.0000
Th1 0.8540 0.8562 0.4256
Th2 0.1460 0.1438 0.5744
Tc1 0.6302 0.6605 0.0105
Tc2 0.3698 0.3395 0.9895
Tc3 0.5000 0.5000 0.5000
Tc4 0.4165 0.4249 0.2547
Tc5 0.9326 0.4046 0.2327
Tc6 0.3874 0.9458 0.2377
Tc7 0.5835 0.5751 0.7453
Tc8 0.6126 0.0542 0.7623
Tc9 0.0674 0.5954 0.7673

Results
Energy relative to the elements, eV per atom: -0.025

---

4.
Ho2ThTc after structural relaxation, computed with PBE-GGA.

abc: 3.4542 3.4542 8.7886
angles: 90.00 90.00 90.00
Positions (direct):
Ho1 0.0000 0.0000 0.8128
Ho2 0.0000 0.0000 0.1872
Th1 0.5000 0.5000 0.5000
Tc1 0.5000 0.5000 0.0000

Results
Energy relative to the elements, eV per atom: 0.064
Distance to the lowest polymorph of the same formula, meV per atom: 234.8

---

5.
HoThTc after structural relaxation, computed with PBE-GGA.

abc: 6.8757 6.4890 6.8774
angles: 85.69 90.00 90.00
Positions (direct):
Tc1 0.4996 0.2420 0.5057
Tc2 0.9996 0.7580 0.9943
Tc3 0.5004 0.7580 0.4943
Tc4 0.0004 0.2420 0.0057
Ho1 0.6790 0.4930 0.8170
Ho2 0.8210 0.4930 0.3170
Ho3 0.3210 0.5070 0.1830
Ho4 0.1790 0.5070 0.6830
Th1 0.3134 0.9989 0.8095
Th2 0.1866 0.9989 0.3095
Th3 0.6866 0.0011 0.1905
Th4 0.8134 0.0011 0.6905

Results
Energy relative to the elements, eV per atom: -0.121
Distance to the lowest polymorph of the same formula, meV per atom: 0.0

---

6.
Ho2Th2Tc after structural relaxation, computed with PBE-GGA.

abc: 4.9346 4.9346 12.3640
angles: 101.51 101.51 90.00
Positions (direct):
Ho1 0.8229 0.8229 0.6458
Ho2 0.0729 0.5729 0.1458
Ho3 0.4271 0.9271 0.8542
Ho4 0.1771 0.1771 0.3542
Th1 0.9305 0.4305 0.8611
Th2 0.6805 0.6805 0.3611
Th3 0.3195 0.3195 0.6389
Th4 0.5695 0.0695 0.1389
Tc1 0.5000 0.5000 0.0000
Tc2 0.7500 0.2500 0.5000

Results
Energy relative to the elements, eV per atom: 0.044

---

7.
HoTh2Tc after structural relaxation, computed with PBE-GGA.

abc: 6.2921 7.3020 9.7309
angles: 90.00 90.00 90.00
Positions (direct):
Ho1 0.6450 0.5404 0.2500
Ho2 0.8550 0.0404 0.2500
Ho3 0.3550 0.4596 0.7500
Ho4 0.1450 0.9596 0.7500
Th1 0.1685 0.6705 0.0626
Th2 0.3315 0.1705 0.4374
Th3 0.8315 0.3295 0.5626
Th4 0.6685 0.8295 0.9374
Th5 0.8315 0.3295 0.9374
Th6 0.6685 0.8295 0.5626
Th7 0.1685 0.6705 0.4374
Th8 0.3315 0.1705 0.0626
Tc1 0.0913 0.3854 0.2500
Tc2 0.4087 0.8854 0.2500
Tc3 0.9087 0.6146 0.7500
Tc4 0.5913 0.1146 0.7500

Results
Energy relative to the elements, eV per atom: -0.124
Distance to the lowest polymorph of the same formula, meV per atom: 0.0

---

8.
HoThTc after structural relaxation, computed with PBE-GGA.

abc: 4.8635 4.8635 4.8635
angles: 60.00 60.00 60.00
Positions (direct):
Ho1 0.5000 0.5000 0.5000
Th1 0.0000 0.0000 0.0000
Tc1 0.2500 0.2500 0.2500

Results
Energy relative to the elements, eV per atom: -0.008
Distance to the lowest polymorph of the same formula, meV per atom: 112.7

---

9.
HoTh4Tc2 after structural relaxation, computed with PBE-GGA.

abc: 6.6333 7.8824 7.9130
angles: 112.26 90.00 90.00
Positions (direct):
Ho1 0.2500 0.8334 0.9709
Ho2 0.7500 0.1666 0.0291
Th1 0.5024 0.4043 0.7567
Th2 0.2500 0.2275 0.3157
Th3 0.7500 0.7725 0.6843
Th4 0.9976 0.4043 0.7567
Th5 0.7500 0.0248 0.3831
Th6 0.0024 0.5957 0.2433
Th7 0.4976 0.5957 0.2433
Th8 0.2500 0.9752 0.6169
Tc1 0.2500 0.2438 0.9845
Tc2 0.7500 0.7562 0.0155
Tc3 0.7500 0.3793 0.4256
Tc4 0.2500 0.6207 0.5744

Results
Energy relative to the elements, eV per atom: -0.036

---

10.
Ho3Th2Tc2 after structural relaxation, computed with PBE-GGA.

abc: 3.9463 6.3101 8.5846
angles: 103.23 103.34 108.22
Positions (direct):
Ho1 0.5000 0.0000 0.0000
Ho2 0.2027 0.8248 0.5797
Ho3 0.7973 0.1752 0.4203
Th1 0.6428 0.4819 0.8041
Th2 0.3572 0.5181 0.1959
Tc1 0.0228 0.8343 0.2118
Tc2 0.9772 0.1657 0.7882

Results
Energy relative to the elements, eV per atom: -0.122

---

11.
HoTh2Tc after structural relaxation, computed with PBE-GGA.

abc: 3.5476 3.5476 8.6162
angles: 90.00 90.00 90.00
Positions (direct):
Ho1 0.5000 0.5000 0.5000
Th1 0.0000 0.0000 0.7931
Th2 0.0000 0.0000 0.2069
Tc1 0.5000 0.5000 0.0000

Results
Energy relative to the elements, eV per atom: 0.020
Distance to the lowest polymorph of the same formula, meV per atom: 143.7

---

12.
Ho2Th3Tc2 after structural relaxation, computed with PBE-GGA.

abc: 3.9558 6.2780 8.5045
angles: 72.09 76.55 71.64
Positions (direct):
Ho1 0.1651 0.4814 0.1884
Ho2 0.8349 0.5186 0.8116
Th1 0.5000 0.0000 0.0000
Th2 0.3858 0.7970 0.4314
Th3 0.6142 0.2030 0.5686
Tc1 0.1671 0.9027 0.7630
Tc2 0.8329 0.0973 0.2370

Results
Energy relative to the elements, eV per atom: -0.129

---

13.
Ho2ThTc after structural relaxation, computed with PBE-GGA.

abc: 3.3763 3.3763 11.1182
angles: 81.27 81.27 60.00
Positions (direct):
Ho1 0.1045 0.1045 0.6866
Ho2 0.8955 0.8955 0.3134
Th1 0.0000 0.0000 0.0000
Tc1 0.5000 0.5000 0.5000

Results
Energy relative to the elements, eV per atom: 0.277
Distance to the lowest polymorph of the same formula, meV per atom: 447.3

---

14.
HoThTc after structural relaxation, computed with PBE-GGA.

abc: 3.4756 3.4756 6.8808
angles: 104.63 104.63 90.00
Positions (direct):
Ho1 0.0332 0.0332 0.0663
Th1 0.2972 0.2972 0.5943
Tc1 0.6697 0.6697 0.3394

Results
Energy relative to the elements, eV per atom: -0.087
Distance to the lowest polymorph of the same formula, meV per atom: 33.5

---

15.
Ho2ThTc9 after structural relaxation, computed with PBE-GGA.

abc: 5.3451 5.3451 9.3619
angles: 73.41 73.41 60.00
Positions (direct):
Ho1 0.8565 0.8565 0.4305
Ho2 0.1435 0.1435 0.5695
Th1 0.0000 0.0000 0.0000
Tc1 0.6621 0.6621 0.0138
Tc2 0.3379 0.3379 0.9862
Tc3 0.5000 0.5000 0.5000
Tc4 0.4107 0.4107 0.2530
Tc5 0.9256 0.4107 0.2530
Tc6 0.4107 0.9256 0.2530
Tc7 0.5893 0.5893 0.7470
Tc8 0.5893 0.0744 0.7470
Tc9 0.0744 0.5893 0.7470

Results
Energy relative to the elements, eV per atom: -0.064

---

16.
HoThTc after structural relaxation, computed with PBE-GGA.

abc: 4.6853 4.6853 8.7317
angles: 105.61 90.00 120.00
Positions (direct):
Ho1 0.3676 0.7351 0.1031
Ho2 0.6324 0.2649 0.8969
Th1 0.7871 0.5742 0.3611
Th2 0.2129 0.4258 0.6389
Tc1 0.9183 0.8366 0.7545
Tc2 0.0817 0.1634 0.2455

Results
Energy relative to the elements, eV per atom: 0.045
Distance to the lowest polymorph of the same formula, meV per atom: 166.2

---

17.
Ho3Th3Tl2Tc after structural relaxation, computed with PBE-GGA.

abc: 3.8360 8.7738 8.7738
angles: 120.00 90.00 90.00
Positions (direct):
Ho1 0.0000 0.6042 0.6042
Ho2 0.0000 0.0000 0.3958
Ho3 0.0000 0.3958 0.0000
Th1 0.5000 0.7555 0.0000
Th2 0.5000 0.0000 0.7555
Th3 0.5000 0.2445 0.2445
Tl1 0.5000 0.6667 0.3333
Tl2 0.5000 0.3333 0.6667
Tc1 0.0000 0.0000 0.0000

Results
Energy relative to the elements, eV per atom: -0.221

---

18.
HoTiTc2 after structural relaxation, computed with PBE-GGA.

abc: 3.2352 3.2352 6.6643
angles: 90.00 90.00 90.00
Positions (direct):
Ti1 0.5000 0.5000 0.0000
Ho1 0.5000 0.5000 0.5000
Tc1 0.0000 0.0000 0.7844
Tc2 0.0000 0.0000 0.2156

Results
Energy relative to the elements, eV per atom: -0.114

---

19.
Ho5Tl2Tc after structural relaxation, computed with PBE-GGA.

abc: 5.4500 8.6646 12.3014
angles: 90.00 90.00 108.33
Positions (direct):
Ho1 0.9298 0.8595 0.8952
Ho2 0.9298 0.8595 0.6048
Ho3 0.2931 0.5862 0.4248
Ho4 0.2931 0.5862 0.0752
Ho5 0.7016 0.4032 0.2500
Ho6 0.2984 0.5968 0.7500
Ho7 0.7069 0.4138 0.5752
Ho8 0.7069 0.4138 0.9248
Ho9 0.0702 0.1405 0.1048
Ho10 0.0702 0.1405 0.3952
Tl1 0.8786 0.7572 0.3689
Tl2 0.8786 0.7572 0.1311
Tl3 0.1214 0.2428 0.6311
Tl4 0.1214 0.2428 0.8689
Tc1 0.8152 0.6303 0.7500
Tc2 0.1848 0.3697 0.2500

Results
Energy relative to the elements, eV per atom: 0.144
Distance to the lowest polymorph of the same formula, meV per atom: 369.3

---

20.
Ho3TlTc after structural relaxation, computed with PBE-GGA.

abc: 5.2999 6.9180 8.5827
angles: 112.36 90.00 112.52
Positions (direct):
Ho1 0.9233 0.8467 0.7703
Ho2 0.0767 0.1533 0.2297
Ho3 0.5878 0.1755 0.8798
Ho4 0.4122 0.8245 0.1202
Ho5 0.7871 0.5742 0.2748
Ho6 0.2129 0.4258 0.7252
Tl1 0.3732 0.7464 0.5038
Tl2 0.6268 0.2536 0.4962
Tc1 0.1817 0.3633 0.0191
Tc2 0.8183 0.6367 0.9809

Results
Energy relative to the elements, eV per atom: -0.119
Distance to the lowest polymorph of the same formula, meV per atom: 68.3

---

no.,DOS(E_F) (states/eV/cell)
1,5.1
2,3.1
3,12.9
4,8.4
5,11.5
6,12.6
7,18.4
8,2.7
9,15.6
10,6.3
11,6.7
12,6.2
13,5.8
14,2.2
15,14.8
16,5.7
17,10.7
18,6.5
19,12.7
20,7.1